Record 1
First-principles (PBE) data for a relaxed RbSnAuSe2S crystal, as listed in OQMD via LeMat-Bulk.

Lattice parameters (Å, degrees): 7.8347 7.8347 11.0194 90.00 90.00 150.05
Atoms (fractional coordinates):
Sn 0.5000 0.5000 0.0000
Sn 0.5000 0.5000 0.5000
Se 0.1255 0.8745 0.5300
Se 0.1255 0.8745 0.9700
Se 0.8745 0.1255 0.4700
Se 0.8745 0.1255 0.0300
S 0.4633 0.5367 0.7500
S 0.5367 0.4633 0.2500
Rb 0.2226 0.7774 0.2500
Rb 0.7774 0.2226 0.7500
Au 0.9174 0.0826 0.2500
Au 0.0826 0.9174 0.7500

Total energy   -3.645 eV per atom


Record 2
First-principles (PBE) data for a relaxed RbTcAuSe2S crystal, as listed in OQMD via LeMat-Bulk.

Lattice parameters (Å, degrees): 8.0711 8.0711 10.0337 90.00 90.00 152.54
Atoms (fractional coordinates):
Au 0.9480 0.0520 0.7500
Au 0.0520 0.9480 0.2500
Rb 0.2500 0.7500 0.7500
Rb 0.7500 0.2500 0.2500
Se 0.8865 0.1135 0.5180
Se 0.1135 0.8865 0.4820
Se 0.1135 0.8865 0.0180
Se 0.8865 0.1135 0.9820
Tc 0.5000 0.5000 0.0000
Tc 0.5000 0.5000 0.5000
S 0.5548 0.4452 0.7500
S 0.4452 0.5548 0.2500

Total energy   -4.544 eV per atom


Record 3
First-principles (PBE) data for a relaxed RbUAuSeS2 crystal, as listed in OQMD via LeMat-Bulk.

Lattice parameters (Å, degrees): 7.8711 7.8711 10.6518 90.00 90.00 149.72
Atoms (fractional coordinates):
S 0.6160 0.3840 0.4578
S 0.3840 0.6160 0.9578
S 0.6160 0.3840 0.0422
S 0.3840 0.6160 0.5422
Rb 0.7513 0.2487 0.7500
Rb 0.2487 0.7513 0.2500
U 0.0000 0.0000 0.5000
U 0.0000 0.0000 0.0000
Se 0.0690 0.9310 0.7500
Se 0.9310 0.0690 0.2500
Au 0.5499 0.4501 0.2500
Au 0.4501 0.5499 0.7500

Total energy   -5.603 eV per atom


Record 4
First-principles (PBE) data for a relaxed RbZrAuSe2S crystal, as listed in OQMD via LeMat-Bulk.

Lattice parameters (Å, degrees): 7.9577 7.9577 10.2200 90.00 90.00 151.09
Atoms (fractional coordinates):
S 0.5604 0.4396 0.2500
S 0.4396 0.5604 0.7500
Rb 0.2462 0.7538 0.2500
Rb 0.7538 0.2462 0.7500
Se 0.8768 0.1232 0.4685
Se 0.1232 0.8768 0.9685
Se 0.1232 0.8768 0.5315
Se 0.8768 0.1232 0.0315
Zr 0.5000 0.5000 0.0000
Zr 0.5000 0.5000 0.5000
Au 0.9575 0.0425 0.2500
Au 0.0425 0.9575 0.7500

Total energy   -5.006 eV per atom


Record 5
First-principles (PBE) data for a relaxed RbSiTe2AuS crystal, as listed in OQMD via LeMat-Bulk.

Lattice parameters (Å, degrees): 8.1609 8.1609 11.1558 90.00 90.00 152.68
Atoms (fractional coordinates):
Te 0.1226 0.8774 0.9748
Te 0.8774 0.1226 0.4748
Te 0.1226 0.8774 0.5252
Te 0.8774 0.1226 0.0252
Si 0.5000 0.5000 0.0000
Si 0.5000 0.5000 0.5000
Au 0.9416 0.0584 0.2500
Au 0.0584 0.9416 0.7500
Rb 0.2342 0.7658 0.2500
Rb 0.7658 0.2342 0.7500
S 0.4573 0.5427 0.7500
S 0.5427 0.4573 0.2500

Total energy   -3.489 eV per atom


Record 6
First-principles (PBE) data for a relaxed RbSiTeAuS2 crystal, as listed in OQMD via LeMat-Bulk.

Lattice parameters (Å, degrees): 8.8573 8.8573 10.5916 90.00 90.00 157.22
Atoms (fractional coordinates):
S 0.0959 0.9041 0.5299
S 0.9041 0.0959 0.0299
S 0.9041 0.0959 0.4701
S 0.0959 0.9041 0.9701
Si 0.5000 0.5000 0.5000
Si 0.5000 0.5000 0.0000
Te 0.4485 0.5515 0.7500
Te 0.5515 0.4485 0.2500
Au 0.8981 0.1019 0.2500
Au 0.1019 0.8981 0.7500
Rb 0.7684 0.2316 0.7500
Rb 0.2316 0.7684 0.2500

Total energy   -3.851 eV per atom


Record 7
First-principles (PBE) data for a relaxed RbSnAuS3 crystal, as listed in OQMD via LeMat-Bulk.

Lattice parameters (Å, degrees): 8.5225 8.5225 10.0832 90.00 90.00 26.57
Atoms (fractional coordinates):
S 0.9507 0.9507 0.2500
S 0.3912 0.3912 0.9778
S 0.3912 0.3912 0.5222
S 0.6088 0.6088 0.4778
S 0.0493 0.0493 0.7500
S 0.6088 0.6088 0.0222
Sn 0.0000 0.0000 0.0000
Sn 0.0000 0.0000 0.5000
Au 0.6140 0.6140 0.2500
Au 0.3860 0.3860 0.7500
Rb 0.2861 0.2861 0.2500
Rb 0.7139 0.7139 0.7500

Total energy   -3.906 eV per atom


Record 8
First-principles (PBE) data for a relaxed RbSnAu3S4 crystal, as listed in OQMD via LeMat-Bulk.

Lattice parameters (Å, degrees): 6.4326 6.4326 6.4326 90.00 90.00 90.00
Atoms (fractional coordinates):
Sn 0.5000 0.5000 0.5000
Au 0.5000 0.0000 0.5000
Au 0.0000 0.5000 0.5000
Au 0.5000 0.5000 0.0000
S 0.7161 0.7161 0.2839
S 0.2839 0.7161 0.7161
S 0.2839 0.2839 0.2839
S 0.7161 0.2839 0.7161
Rb 0.0000 0.0000 0.0000

Distance to the lowest polymorph of the same formula   0.168 eV/atom
Total energy   -3.597 eV per atom


Record 9
First-principles (PBE) data for a relaxed RbSnAu3S4 crystal, as listed in OQMD via LeMat-Bulk.

Lattice parameters (Å, degrees): 6.1495 7.6678 10.8875 90.00 99.19 90.00
Atoms (fractional coordinates):
S 0.8180 0.5151 0.2656
S 0.1820 0.0151 0.7344
S 0.1820 0.4849 0.7344
S 0.4419 0.2500 0.4798
S 0.8180 0.9849 0.2656
S 0.3562 0.2500 0.0792
S 0.5581 0.7500 0.5202
S 0.6438 0.7500 0.9208
Rb 0.3069 0.7500 0.1464
Rb 0.6931 0.2500 0.8536
Au 0.1347 0.4399 0.4090
Au 0.9711 0.7500 0.8357
Au 0.8653 0.5601 0.5910
Au 0.0289 0.2500 0.1643
Au 0.1347 0.0601 0.4090
Au 0.8653 0.9399 0.5910
Sn 0.4064 0.7500 0.7207
Sn 0.5936 0.2500 0.2793

Distance to the lowest polymorph of the same formula   0.000 eV/atom
Total energy   -3.764 eV per atom


Record 10
First-principles (PBE) data for a relaxed RbTaAuS3 crystal, as listed in OQMD via LeMat-Bulk.

Lattice parameters (Å, degrees): 8.0142 8.0142 9.7997 90.00 90.00 154.04
Atoms (fractional coordinates):
Au 0.0557 0.9443 0.2500
Au 0.9443 0.0557 0.7500
S 0.8862 0.1138 0.5255
S 0.1138 0.8862 0.4745
S 0.5658 0.4342 0.7500
S 0.4342 0.5658 0.2500
S 0.1138 0.8862 0.0255
S 0.8862 0.1138 0.9745
Rb 0.2481 0.7519 0.7500
Rb 0.7519 0.2481 0.2500
Ta 0.5000 0.5000 0.0000
Ta 0.5000 0.5000 0.5000

Total energy   -5.406 eV per atom


Record 11
First-principles (PBE) data for a relaxed RbTaTe2AuS crystal, as listed in OQMD via LeMat-Bulk.

Lattice parameters (Å, degrees): 9.4435 9.4435 9.7648 90.00 90.00 154.92
Atoms (fractional coordinates):
Te 0.8871 0.1129 0.9855
Te 0.1129 0.8871 0.0145
Te 0.1129 0.8871 0.4855
Te 0.8871 0.1129 0.5145
S 0.4870 0.5130 0.7500
S 0.5130 0.4870 0.2500
Au 0.9216 0.0784 0.2500
Au 0.0784 0.9216 0.7500
Rb 0.7294 0.2706 0.7500
Rb 0.2706 0.7294 0.2500
Ta 0.5000 0.5000 0.0000
Ta 0.5000 0.5000 0.5000

Total energy   -4.819 eV per atom


Record 12
First-principles (PBE) data for a relaxed RbTaTeAuS2 crystal, as listed in OQMD via LeMat-Bulk.

Lattice parameters (Å, degrees): 8.6257 8.6257 10.3143 90.00 90.00 155.70
Atoms (fractional coordinates):
Rb 0.2220 0.7780 0.7500
Rb 0.7780 0.2220 0.2500
Te 0.0882 0.9118 0.2500
Te 0.9118 0.0882 0.7500
Ta 0.0000 0.0000 0.5000
Ta 0.0000 0.0000 0.0000
S 0.6025 0.3975 0.5387
S 0.6025 0.3975 0.9613
S 0.3975 0.6025 0.4613
S 0.3975 0.6025 0.0387
Au 0.5420 0.4580 0.7500
Au 0.4580 0.5420 0.2500

Total energy   -5.143 eV per atom


Record 13
First-principles (PBE) data for a relaxed RbTbAu3S4 crystal, as listed in OQMD via LeMat-Bulk.

Lattice parameters (Å, degrees): 6.4005 6.4005 6.4005 90.00 90.00 90.00
Atoms (fractional coordinates):
Au 0.0000 0.5000 0.5000
Au 0.5000 0.5000 0.0000
Au 0.5000 0.0000 0.5000
S 0.7281 0.2719 0.7281
S 0.2719 0.2719 0.2719
S 0.2719 0.7281 0.7281
S 0.7281 0.7281 0.2719
Rb 0.0000 0.0000 0.0000
Tb 0.5000 0.5000 0.5000

Distance to the lowest polymorph of the same formula   0.138 eV/atom
Total energy   -4.073 eV per atom


Record 14
First-principles (PBE) data for a relaxed RbTbAu3S4 crystal, as listed in OQMD via LeMat-Bulk.

Lattice parameters (Å, degrees): 5.8048 7.5207 11.2596 90.00 103.56 90.00
Atoms (fractional coordinates):
Au 0.2993 0.9375 0.5534
Au 0.7007 0.4375 0.4466
Au 0.5609 0.2500 0.1913
Au 0.4391 0.7500 0.8087
Au 0.2993 0.5625 0.5534
Au 0.7007 0.0625 0.4466
S 0.3833 0.5167 0.2751
S 0.1391 0.7500 0.9157
S 0.6167 0.0167 0.7249
S 0.9591 0.7500 0.4501
S 0.0409 0.2500 0.5499
S 0.8609 0.2500 0.0843
S 0.6167 0.4833 0.7249
S 0.3833 0.9833 0.2751
Rb 0.7798 0.7500 0.1210
Rb 0.2202 0.2500 0.8790
Tb 0.8823 0.7500 0.6877
Tb 0.1177 0.2500 0.3123

Distance to the lowest polymorph of the same formula   0.000 eV/atom
Total energy   -4.211 eV per atom


Record 15
First-principles (PBE) data for a relaxed RbTcAuS3 crystal, as listed in OQMD via LeMat-Bulk.

Lattice parameters (Å, degrees): 8.5095 8.5095 9.7146 90.00 90.00 24.83
Atoms (fractional coordinates):
Rb 0.2175 0.2175 0.2500
Rb 0.7825 0.7825 0.7500
S 0.1008 0.1008 0.9865
S 0.8992 0.8992 0.4865
S 0.8992 0.8992 0.0135
S 0.1008 0.1008 0.5135
S 0.5406 0.5406 0.2500
S 0.4594 0.4594 0.7500
Au 0.8922 0.8922 0.2500
Au 0.1078 0.1078 0.7500
Tc 0.5000 0.5000 0.0000
Tc 0.5000 0.5000 0.5000

Total energy   -4.816 eV per atom


Record 16
First-principles (PBE) data for a relaxed RbTcTeAuS2 crystal, as listed in OQMD via LeMat-Bulk.

Lattice parameters (Å, degrees): 8.7523 8.7523 10.4548 90.00 90.00 156.09
Atoms (fractional coordinates):
Te 0.4394 0.5606 0.7500
Te 0.5606 0.4394 0.2500
S 0.9028 0.0972 0.4739
S 0.9028 0.0972 0.0261
S 0.0972 0.9028 0.9739
S 0.0972 0.9028 0.5261
Rb 0.2431 0.7569 0.2500
Rb 0.7569 0.2431 0.7500
Tc 0.5000 0.5000 0.0000
Tc 0.5000 0.5000 0.5000
Au 0.9092 0.0908 0.2500
Au 0.0908 0.9092 0.7500

Total energy   -4.633 eV per atom


Record 17
First-principles (PBE) data for a relaxed RbTcTe2AuS crystal, as listed in OQMD via LeMat-Bulk.

Lattice parameters (Å, degrees): 8.5953 8.5953 10.2035 90.00 90.00 153.15
Atoms (fractional coordinates):
Te 0.8833 0.1167 0.0143
Te 0.1167 0.8833 0.9857
Te 0.1167 0.8833 0.5143
Te 0.8833 0.1167 0.4857
Tc 0.5000 0.5000 0.5000
Tc 0.5000 0.5000 0.0000
Au 0.0448 0.9552 0.7500
Au 0.9552 0.0448 0.2500
S 0.4529 0.5471 0.7500
S 0.5471 0.4529 0.2500
Rb 0.7407 0.2593 0.7500
Rb 0.2593 0.7407 0.2500

Total energy   -4.307 eV per atom


Record 18
First-principles (PBE) data for a relaxed RbUTe2AuS crystal, as listed in OQMD via LeMat-Bulk.

Lattice parameters (Å, degrees): 8.3701 8.3701 11.2208 90.31 90.31 29.34
Atoms (fractional coordinates):
U 0.0000 0.0000 0.0000
U 0.0000 0.0000 0.5000
Te 0.3656 0.3656 0.4486
Te 0.0807 0.0807 0.2494
Te 0.9193 0.9193 0.7506
Te 0.6344 0.6344 0.5514
Rb 0.7676 0.7676 0.2153
Rb 0.2324 0.2324 0.7847
Au 0.4671 0.4671 0.2555
Au 0.5329 0.5329 0.7445
S 0.3975 0.3975 0.0518
S 0.6025 0.6025 0.9482

Total energy   -5.160 eV per atom


Record 19
First-principles (PBE) data for a relaxed RbUTeAuS2 crystal, as listed in OQMD via LeMat-Bulk.

Lattice parameters (Å, degrees): 8.2275 8.2275 11.0596 90.01 90.01 29.08
Atoms (fractional coordinates):
Rb 0.2221 0.2221 0.7500
Rb 0.7779 0.7779 0.2500
Te 0.0887 0.0887 0.2500
Te 0.9113 0.9113 0.7500
U 0.0000 0.0000 0.5000
U 0.0000 0.0000 0.0000
Au 0.5299 0.5299 0.7500
Au 0.4701 0.4701 0.2500
S 0.3935 0.3935 0.0549
S 0.6065 0.6065 0.9451
S 0.6065 0.6065 0.5550
S 0.3935 0.3935 0.4450

Total energy   -5.446 eV per atom


Record 20
First-principles (PBE) data for a relaxed RbTeWAuS2 crystal, as listed in OQMD via LeMat-Bulk.

Lattice parameters (Å, degrees): 8.4603 8.4603 10.4040 90.00 90.00 154.06
Atoms (fractional coordinates):
S 0.0975 0.9025 0.4700
S 0.0975 0.9025 0.0300
S 0.9025 0.0975 0.5300
S 0.9025 0.0975 0.9700
Au 0.9408 0.0592 0.7500
Au 0.0592 0.9408 0.2500
W 0.5000 0.5000 0.0000
W 0.5000 0.5000 0.5000
Rb 0.2675 0.7325 0.7500
Rb 0.7325 0.2675 0.2500
Te 0.4232 0.5768 0.2500
Te 0.5768 0.4232 0.7500

Total energy   -4.996 eV per atom